GGA-PBE Ho2ErTe, relaxed; calculated density = 8.7 Mg/m³; symmetry = P2_1/m, No. 11; formation energy (no corrections) = -0.567 eV/atom; V = 237.8 Å³ per cell; calculated total energy = -38.257 eV/cell
1.0
3.843 0.000 0.000
0.000 7.277 0.825
0.000 -1.557 8.327
Ho Te Er
4 2 2
direct
0.750 0.640 0.895 Ho
0.250 0.778 0.568 Ho
0.750 0.222 0.432 Ho
0.250 0.360 0.105 Ho
0.250 0.373 0.700 Te
0.750 0.627 0.300 Te
0.750 0.083 0.845 Er
0.250 0.917 0.155 Er

---

GGA-PBE Mn2AsH2, relaxed; calculated density = 6.1 Mg/m³; symmetry = I4/mmm, No. 139; V = 50.5 Å³ per cell; calculated total energy = -29.456 eV/cell
1.0
-3.452 -0.843 0.715
0.781 -0.200 3.534
-2.165 3.210 2.520
As Mn H
1 2 2
direct
0.000 0.000 0.000 As
0.250 0.750 0.500 Mn
0.750 0.250 0.500 Mn
0.675 0.675 0.650 H
0.325 0.325 0.350 H

---

GGA-PBE Na3SnRh2S6, relaxed; calculated density = 4.2 Mg/m³; symmetry = C2/m, No. 12; formation energy (no corrections) = -0.711 eV/atom; V = 231.8 Å³ per cell; calculated total energy = -55.958 eV/cell
1.0
-2.742 -5.532 -1.819
6.275 0.991 -1.030
0.178 -1.060 6.733
Na Rh Sn S
3 2 1 6
direct
0.837 0.163 0.500 Na
0.500 0.500 0.500 Na
0.163 0.837 0.500 Na
0.333 0.667 0.000 Rh
0.667 0.333 0.000 Rh
0.000 0.000 0.000 Sn
0.580 0.933 0.802 S
0.289 0.289 0.801 S
0.067 0.420 0.198 S
0.711 0.711 0.199 S
0.933 0.580 0.802 S
0.420 0.067 0.198 S

---

GGA-PBE AcBiAs2, relaxed; calculated density = 8.9 Mg/m³; symmetry = P4/mmm, No. 123; ΔH_f (0 K) = -41.14 kJ/mol of atoms; V = 109.1 Å³ per cell; calculated total energy = -18.994 eV/cell
1.0
4.042 0.000 0.000
0.000 4.042 0.000
0.000 0.000 6.676
Ac Bi As
1 1 2
direct
0.500 0.500 0.000 Ac
0.500 0.500 0.500 Bi
0.000 0.000 0.250 As
0.000 0.000 0.750 As

---

GGA-PBE ReTeMo3, relaxed; calculated density = 9.0 Mg/m³; symmetry = Pm-3m, No. 221; formation energy (no corrections) = 1.556 eV/atom; V = 110.9 Å³ per cell; calculated total energy = -40.303 eV/cell
1.0
-0.647 4.448 1.695
-4.496 -0.009 -1.693
-1.564 -1.814 4.164
Mo Re Te
3 1 1
direct
0.000 0.500 0.000 Mo
0.500 0.000 0.000 Mo
0.000 0.000 0.500 Mo
0.000 0.000 0.000 Re
0.500 0.500 0.500 Te

---

GGA-PBE NaTcP, relaxed; calculated density = 4.9 Mg/m³; symmetry = Cm, No. 8; ΔH_f (0 K) = -20.82 kJ/mol of atoms; V = 205.5 Å³ per cell; calculated total energy = -70.969 eV/cell
1.0
2.895 0.000 -0.004
0.000 14.224 0.000
-0.343 0.000 4.991
Tc Na P
4 4 4
direct
0.766 0.000 0.922 Tc
0.766 0.500 0.422 Tc
0.178 0.000 0.404 Tc
0.178 0.500 0.904 Tc
0.264 0.812 0.090 Na
0.264 0.188 0.090 Na
0.264 0.688 0.590 Na
0.264 0.312 0.590 Na
0.722 0.118 0.597 P
0.722 0.618 0.097 P
0.722 0.882 0.597 P
0.722 0.382 0.097 P